Entry from Alexandria via LeMat-Bulk: AsPb8 after structural relaxation (PBE-GGA). Values from VASP.

Quantum ESPRESSO input file:
```
&SYSTEM
  ibrav = 0, nat = 9, ntyp = 2
/
ATOMIC_SPECIES
As 74.92 As.upf
Pb 207.20 Pb.upf
ATOMIC_POSITIONS crystal
As 0.000 0.000 0.000
Pb 0.342 0.658 0.000
Pb 0.658 0.342 0.000
Pb 0.000 0.333 0.333
Pb 0.658 0.658 0.316
Pb 0.333 0.000 0.333
Pb 0.342 0.342 0.684
Pb 0.000 0.667 0.667
Pb 0.667 0.000 0.667
CELL_PARAMETERS angstrom
8.060 -0.251 0.000
-6.631 4.589 0.000
-0.714 -2.169 7.734
```

Energy relative to the elements: 1.56 kcal/mol of atoms
DOS(E_F): 5.3 states/eV/f.u.
Calculated total energy: -3.7453 eV/atom